No. 1
An optimized crystal structure of MnAgPbBr6. Source: Alexandria, functional GGA-PBE.

Calculated values
* symmetry: P312

```
MnAgPbBr6
1.0
7.024 0.000 0.000
-3.512 6.083 0.000
0.000 0.000 6.484
Mn Ag Pb Br
1 1 1 6
direct
0.000 0.000 0.000
0.667 0.333 0.000
0.333 0.667 0.500
0.307 0.012 0.232
0.307 0.295 0.768
0.705 0.012 0.768
0.705 0.693 0.232
0.988 0.295 0.232
0.988 0.693 0.768
```

No. 2
An optimized crystal structure of MnAg2PdBr6. Source: Alexandria, functional GGA-PBE.

Calculated values
* symmetry: R3

```
MnAg2PdBr6
1.0
3.483 2.011 6.135
-3.483 2.011 6.135
0.000 -4.022 6.135
Mn Ag Pd Br
1 2 1 6
direct
0.000 0.000 0.000
0.294 0.294 0.294
0.791 0.791 0.791
0.501 0.501 0.501
0.123 0.745 0.371
0.238 0.628 0.876
0.371 0.123 0.745
0.628 0.876 0.238
0.745 0.371 0.123
0.876 0.238 0.628
```

No. 3
An optimized crystal structure of Rb3Mn2AgBr9. Source: Alexandria, functional GGA-PBE.

Calculated values
* symmetry: P-3m1

```
Rb3Mn2AgBr9
1.0
7.603 0.000 0.000
-3.801 6.584 0.000
0.000 0.000 9.378
Rb Mn Ag Br
3 2 1 9
direct
0.000 0.000 0.000
0.333 0.667 0.661
0.667 0.333 0.339
0.333 0.667 0.168
0.667 0.333 0.832
0.000 0.000 0.500
0.000 0.500 0.000
0.172 0.343 0.322
0.172 0.828 0.322
0.343 0.172 0.678
0.500 0.000 0.000
0.500 0.500 0.000
0.657 0.828 0.322
0.828 0.172 0.678
0.828 0.657 0.678
```

No. 4
An optimized crystal structure of RbMnAgBr5. Source: Alexandria, functional GGA-PBE.

Calculated values
* symmetry: C2/c

```
RbMnAgBr5
1.0
4.491 -6.892 0.000
4.491 6.892 0.000
-3.546 0.000 8.997
Rb Mn Ag Br
2 2 2 10
direct
0.165 0.835 0.750
0.835 0.165 0.250
0.166 0.834 0.250
0.834 0.166 0.750
0.500 0.500 0.000
0.500 0.500 0.500
0.110 0.222 0.937
0.196 0.641 0.401
0.222 0.110 0.437
0.359 0.804 0.099
0.426 0.574 0.750
0.574 0.426 0.250
0.641 0.196 0.901
0.778 0.890 0.563
0.804 0.359 0.599
0.890 0.778 0.063
```

No. 5
An optimized crystal structure of Rb3MnAg2Br6. Source: Alexandria, functional GGA-PBE.

Calculated values
* symmetry: P-3m1

```
Rb3MnAg2Br6
1.0
7.916 0.000 0.000
-3.958 6.855 0.000
0.000 0.000 8.519
Rb Mn Ag Br
3 1 2 6
direct
0.000 0.000 0.000
0.333 0.667 0.628
0.667 0.333 0.372
0.000 0.000 0.500
0.333 0.667 0.152
0.667 0.333 0.848
0.159 0.318 0.312
0.159 0.841 0.312
0.318 0.159 0.688
0.682 0.841 0.312
0.841 0.159 0.688
0.841 0.682 0.688
```

No. 6
An optimized crystal structure of Rb2MnAgBr5. Source: Alexandria, functional GGA-PBE.

Calculated values
* symmetry: Cmc2_1

```
Rb2MnAgBr5
1.0
2.199 -10.208 0.000
2.199 10.208 0.000
0.000 0.000 14.032
Rb Mn Ag Br
4 2 2 10
direct
0.126 0.874 0.500
0.131 0.869 0.868
0.869 0.131 0.368
0.874 0.126 0.000
0.429 0.571 0.619
0.571 0.429 0.119
0.226 0.774 0.225
0.774 0.226 0.725
0.043 0.957 0.206
0.303 0.697 0.836
0.313 0.687 0.563
0.355 0.645 0.184
0.492 0.508 0.465
0.508 0.492 0.965
0.645 0.355 0.684
0.687 0.313 0.063
0.697 0.303 0.336
0.957 0.043 0.706
```

Number 1: electronic total energy -31.3 eV/f.u.. Number 2: electronic total energy -34.0 eV/f.u.. Number 3: electronic total energy -55.5 eV/f.u.. Number 4: electronic total energy -28.0 eV/f.u.. Number 5: electronic total energy -38.7 eV/f.u.. Number 6: electronic total energy -32.3 eV/f.u..